[1]
15
Lattice="-3.8831 -4.6044 -1.7668 4.6382 1.8300 -3.8130 4.7020 -5.2021 3.2229" Properties=species:S:1:pos:R:3 comment="PBE with a Hubbard U Rb3NiHg2F9, optimized geometry" sg="P-3m1, No. 164" e_tot_ev_per_atom=-3.67 pbc="T T T"
Rb 4.9478 -3.7999 -0.9718
Rb 0.0000 0.0000 0.0000
Rb 0.5092 -4.1766 -1.3851
Ni 2.3510 -2.6011 1.6114
Hg 2.6701 -1.2799 -2.5330
Hg 2.7870 -6.6965 0.1761
F 0.4900 -7.0023 0.0173
F 2.9875 -6.0169 -2.0358
F 2.5809 -4.5231 0.9686
F 2.8761 -3.4534 -3.3255
F 2.4696 -1.9595 -0.3211
F 4.9670 -0.9741 -2.3742
F -1.9416 -2.3022 -0.8834
F 2.3191 0.9150 -1.9065
F 0.3775 -1.3872 -2.7899

[2]
5
Lattice="-4.0809 2.4473 0.5507 -0.7127 -0.4131 -3.4457 -2.3161 -4.0799 0.9682" Properties=species:S:1:pos:R:3 comment="PBE with a Hubbard U Re2NiHgF, optimized geometry" sg="P4/mmm, No. 123" e_tot_ev_per_atom=-4.47 pbc="T T T"
Re -1.1580 -2.0399 0.4841
Re -2.0405 1.2237 0.2754
F -0.3564 -0.2065 -1.7229
Hg -3.5549 -1.0228 -0.9634
Ni 0.0000 0.0000 0.0000

[3]
22
Lattice="1.4271 -7.2308 2.1763 -5.5153 -5.3268 -0.5136 0.5151 -5.5685 -5.2710" Properties=species:S:1:pos:R:3 comment="PBE with a Hubbard U Ni2Hg2SF6, optimized geometry" sg="Fd-3m, No. 227" e_tot_ev_per_atom=-3.57 pbc="T T T"
Ni -3.2043 -4.9292 -0.7078
Ni -0.1891 -5.0500 -3.0865
Ni 0.2669 -5.8812 0.6371
Ni -0.4466 -2.2658 -0.4510
Hg 0.5245 -8.6654 -1.9984
Hg -2.9467 -7.7135 -3.3433
Hg -2.2332 -11.3289 -2.2552
Hg -2.4907 -8.5446 0.3803
S -1.7865 -9.0631 -1.8041
S -2.6798 -13.5946 -2.7062
F -2.3360 -3.0859 -0.4027
F 0.1837 -7.9397 0.6362
F 0.3501 -3.8226 0.6380
F -3.1976 -11.2056 0.3213
F -0.3754 -6.9206 -3.9296
F -2.1367 -5.2405 -2.4422
F -3.7568 -10.1864 -4.2445
F 0.5494 -5.9772 -1.4014
F -4.0726 -6.7725 -1.0129
F -1.7838 -5.8836 0.4393
F 0.4995 -11.3537 -2.5954
F -0.0027 -3.1795 -2.2435

[4]
5
Lattice="-2.6894 1.5437 3.5069 0.9011 -3.1922 2.0962 3.6777 2.2421 1.8334" Properties=species:S:1:pos:R:3 comment="PBE with a Hubbard U ScNi2HgF, optimized geometry" sg="P4/mmm, No. 123" e_tot_ev_per_atom=-2.64 pbc="T T T"
Sc 0.0000 0.0000 0.0000
Ni 1.8389 1.1211 0.9167
Ni -1.3447 0.7718 1.7535
Hg 0.9447 0.2968 3.7183
F 0.4506 -1.5961 1.0481

Number 1: ρ 5.59 g cm⁻³. Number 2: ρ 13.29 g cm⁻³. Number 3: ρ 6.88 g cm⁻³. Number 4: ρ 7.38 g cm⁻³.